Record 1
This record from Alexandria via LeMat-Bulk describes a relaxed structure of Si2HgGe2. The functional is PBE-GGA.

```
Si2HgGe2
1.0
-3.9724 -2.0048 -1.4213
2.3646 -3.8539 -1.1728
-1.4649 -4.6249 2.9418
Ge Si Hg
2 2 1
Direct
0.7500 0.2500 0.5000
0.2500 0.7500 0.5000
0.6295 0.6295 0.7410
0.3705 0.3705 0.2590
0.0000 0.0000 0.0000
```

## Properties
ΔE_f (raw): 257 meV/atom
Uncorrected energy: -3.819 eV/atom
Mass density: 6.6 Mg/m³

Record 2
This record from Alexandria via LeMat-Bulk describes a relaxed structure of SiHg2Ge. The functional is PBE-GGA.

```
SiHg2Ge
1.0
0.0000 3.4977 3.4977
3.4977 0.0000 3.4977
3.4977 3.4977 0.0000
Si Hg Ge
1 2 1
Direct
0.0000 0.0000 0.0000
0.2500 0.2500 0.2500
0.7500 0.7500 0.7500
0.5000 0.5000 0.5000
```

## Properties
ΔE_f (raw): 501 meV/atom
Uncorrected energy: -2.160 eV/atom
Mass density: 9.7 Mg/m³

Record 3
This record from Alexandria via LeMat-Bulk describes a relaxed structure of SiHgGe2. The functional is PBE-GGA.

```
SiHgGe2
1.0
6.0870 0.0000 0.0000
0.0000 6.0870 0.0000
3.0435 3.0435 5.4426
Si Ge Hg
2 4 2
Direct
0.5000 0.5000 0.0000
0.2500 0.7500 0.5000
0.1599 0.6250 0.2500
0.3750 0.4099 0.7500
0.5901 0.1250 0.2500
0.8750 0.8401 0.7500
0.7500 0.2500 0.5000
0.0000 0.0000 0.0000
```

## Properties
ΔE_f (raw): 285 meV/atom
Uncorrected energy: -3.455 eV/atom
Mass density: 6.2 Mg/m³

Record 4
This record from Alexandria via LeMat-Bulk describes a relaxed structure of SiHgGe3. The functional is PBE-GGA.

```
SiHgGe3
1.0
-0.7374 3.8305 2.8827
-4.5798 0.2991 -1.5690
-1.4169 -2.9604 3.5713
Ge Hg Si
3 1 1
Direct
0.0000 0.5000 0.0000
0.0000 0.0000 0.5000
0.5000 0.0000 0.0000
0.5000 0.5000 0.5000
0.0000 0.0000 0.0000
```

## Properties
ΔE_f (raw): 590 meV/atom
Uncorrected energy: -3.326 eV/atom
Mass density: 6.5 Mg/m³